Record 1
This record from Alexandria describes a relaxed NdBe4NiPt2 crystal. The functional is PBE.

Results
The formation energy comes out at -482 kJ/mol of formula units.

```
NdBe4NiPt2
1.0
-1.9713 1.0665 3.1822
-2.5161 -2.4695 1.6494
4.5711 -3.4673 6.3743
Be Nd Pt Ni
4 1 2 1
Cartesian
1.6296 -3.2202 6.8496
2.1235 -2.2572 4.4524
-2.0398 -2.6132 6.7534
-1.5459 -1.6501 4.3562
0.0000 0.0000 0.0000
-0.2701 -3.4882 8.1430
0.3538 -1.3822 3.0628
0.0418 -2.4352 5.6029
```

---

Record 2
This record from Alexandria describes a relaxed Rb4Na2Cl crystal. The functional is PBE.

Results
The value obtained for the energy relative to the elements, uncorrected is -318 kJ/mol of formula units.

```
Rb4Na2Cl
1.0
-0.9651 0.1453 -6.3937
6.1372 -1.7977 -0.9673
-5.5544 -9.4232 3.8956
Na Cl Rb
2 1 4
Cartesian
-2.1388 -7.3849 0.1550
1.7564 -3.6907 -3.6204
0.0000 0.0000 0.0000
0.6045 -7.6681 -3.5369
-0.4826 0.0727 -3.1969
3.0686 -0.8988 -0.4836
-0.9869 -3.4075 0.0715
```

---

Record 3
This record from Alexandria describes a relaxed Ac5Pr2Nd5 crystal. The functional is PBE.

Results
The formation energy comes out at 67 kJ/mol of formula units.

```
Ac5Pr2Nd5
1.0
5.8796 0.0000 1.2564
2.5686 8.9196 2.3654
1.0545 1.3548 9.4509
Ac Pr Nd
5 2 5
Cartesian
7.6635 7.6257 7.2939
4.1855 7.6630 9.1844
1.8392 2.6486 5.7788
5.3172 2.6113 3.8882
0.0000 0.0000 0.0000
7.1473 5.1166 9.7095
2.3554 5.1578 3.3631
4.7514 5.1372 6.5363
3.9731 3.9123 10.1781
5.5296 6.3620 2.8946
4.5135 1.3114 7.6496
4.9892 8.9630 5.4231
```

---

Record 4
This record from Alexandria describes a relaxed VCdGa crystal. The functional is PBE.

Results
The formation energy comes out at 55 kJ/mol of formula units.

```
VCdGa
1.0
-3.8931 -2.1554 1.2801
0.5004 -3.6987 3.6687
-2.6938 2.4371 4.2856
Ga Cd V
2 2 2
Cartesian
-2.2284 0.2479 2.0150
-4.3585 0.0338 3.5507
-0.2882 -2.8540 2.6926
-3.1045 -3.0001 2.2562
-4.0165 -2.2474 4.9372
-2.0700 -1.1697 4.2971
```

---

Record 5
This record from Alexandria describes a relaxed KRbNi3 crystal. The functional is PBE.

Results
The formation energy comes out at 871 kJ/mol of formula units. For the offset from the most stable computed form, the calculation gives 0 meV/atom.

```
KRbNi3
1.0
-2.1554 -4.0952 2.5658
1.0868 -3.1483 -4.1118
4.7088 -1.1478 2.1235
K Ni Rb
1 3 1
Cartesian
0.0000 0.0000 0.0000
0.5434 -1.5741 -2.0559
2.3544 -0.5739 1.0618
-1.0777 -2.0476 1.2829
1.8201 -4.1957 0.2888
```

---

The records above yield N(E_F) values of 3.29; 4.20; 17.90; 3.54; 13.65 states/eV/cell, respectively.